No. 1
AcNi2Ir2 after structural relaxation, computed with PBE.

a b c (Å): 10.812 10.812 10.812
angles (deg): 157.71 157.71 31.72
Fractional positions:
Ac1 0.123 0.123 0.000
Ac2 0.877 0.877 0.000
Ni1 0.000 0.500 0.500
Ni2 0.318 0.318 0.000
Ni3 0.500 0.000 0.500
Ni4 0.682 0.682 0.000
Ir1 0.250 0.750 0.500
Ir2 0.434 0.434 0.000
Ir3 0.566 0.566 0.000
Ir4 0.750 0.250 0.500

## Properties
DOS(E_F) in states/eV/f.u.: 9.1
Energy of formation in meV per atom: -140
Symmetry: I4/mmm (139)
Calculated volume in A^3/atom: 18.2
Total energy in eV/f.u.: -34.09

No. 2
KBa after structural relaxation, computed with PBE.

a b c (Å): 13.340 12.158 7.670
angles (deg): 81.15 64.23 34.62
Fractional positions:
K1 0.042 0.042 0.208
K2 0.208 0.208 0.042
K3 0.792 0.792 0.958
K4 0.958 0.958 0.792
Ba1 0.212 0.538 0.212
Ba2 0.462 0.788 0.462
Ba3 0.538 0.212 0.538
Ba4 0.788 0.462 0.788

## Properties
DOS(E_F) in states/eV/f.u.: 3.1
Energy of formation in meV per atom: 233
Symmetry: Fddd (70)
Calculated volume in A^3/atom: 72.9
Total energy in eV/f.u.: -2.55

No. 3
Hf2Al after structural relaxation, computed with PBE.

a b c (Å): 4.582 4.582 4.582
angles (deg): 60.07 60.07 60.07
Fractional positions:
Hf1 0.250 0.250 0.250
Hf2 0.750 0.750 0.750
Al1 0.000 0.000 0.000

## Properties
DOS(E_F) in states/eV/f.u.: 2.3
Energy of formation in meV per atom: 199
Symmetry: R-3m (166)
Calculated volume in A^3/atom: 22.7
Total energy in eV/f.u.: -23.05

No. 4
Sr2Cd5Ag5 after structural relaxation, computed with PBE.

a b c (Å): 4.762 5.910 10.226
angles (deg): 90.00 90.00 90.00
Fractional positions:
Sr1 0.000 0.000 0.000
Sr2 0.000 0.500 0.500
Cd1 0.500 0.000 0.500
Cd2 0.500 0.251 0.245
Cd3 0.500 0.251 0.755
Cd4 0.500 0.749 0.245
Cd5 0.500 0.749 0.755
Ag1 0.000 0.000 0.333
Ag2 0.000 0.000 0.667
Ag3 0.000 0.500 0.164
Ag4 0.000 0.500 0.836
Ag5 0.500 0.500 0.000

## Properties
DOS(E_F) in states/eV/f.u.: 5.3
Energy of formation in meV per atom: -233
Symmetry: Pmmm (47)
Calculated volume in A^3/atom: 24.0
Offset from the most stable computed form in eV per atom: 0.000
Total energy in eV/f.u.: -24.99

No. 5
MgScSb2 after structural relaxation, computed with PBE.

a b c (Å): 4.874 4.874 3.982
angles (deg): 90.00 90.00 90.00
Fractional positions:
Mg1 0.000 0.000 0.000
Sc1 0.500 0.500 0.000
Sb1 0.000 0.500 0.500
Sb2 0.500 0.000 0.500

## Properties
DOS(E_F) in states/eV/f.u.: 2.5
Symmetry: P4/mmm (123)
Calculated volume in A^3/atom: 23.7
Formation energy (no corrections) in kJ/mol of formula units: -165
Total energy in eV/f.u.: -17.88

No. 6
LaPr6In after structural relaxation, computed with PBE.

a b c (Å): 5.086 5.086 10.541
angles (deg): 90.00 90.00 90.00
Fractional positions:
La1 0.000 0.000 0.000
Pr1 0.000 0.500 0.261
Pr2 0.000 0.500 0.739
Pr3 0.500 0.000 0.261
Pr4 0.500 0.000 0.739
Pr5 0.500 0.500 0.000
Pr6 0.500 0.500 0.500
In1 0.000 0.000 0.500

## Properties
DOS(E_F) in states/eV/f.u.: 10.1
Energy of formation in meV per atom: -114
Symmetry: P4/mmm (123)
Calculated volume in A^3/atom: 34.1
Offset from the most stable computed form in eV per atom: 0.000
Total energy in eV/f.u.: -37.25

No. 7
Pr2Dy5HoTh after structural relaxation, computed with PBE.

a b c (Å): 10.360 10.360 10.796
angles (deg): 90.00 90.00 148.46
Fractional positions:
Pr1 0.115 0.885 0.500
Pr2 0.115 0.885 0.916
Pr3 0.885 0.115 0.000
Pr4 0.885 0.115 0.416
Dy1 0.015 0.985 0.208
Dy2 0.280 0.720 0.496
Dy3 0.299 0.701 0.890
Dy4 0.391 0.609 0.204
Dy5 0.480 0.520 0.920
Dy6 0.520 0.480 0.420
Dy7 0.609 0.391 0.704
Dy8 0.701 0.299 0.390
Dy9 0.720 0.280 0.996
Dy10 0.985 0.015 0.708
Ho1 0.200 0.800 0.191
Ho2 0.800 0.200 0.691
Th1 0.416 0.584 0.639
Th2 0.584 0.416 0.139

## Properties
DOS(E_F) in states/eV/f.u.: 13.7
Energy of formation in meV per atom: 167
Symmetry: Cmc2_1 (36)
Calculated volume in A^3/atom: 33.7
Total energy in eV/f.u.: -43.06

No. 8
Y5Se after structural relaxation, computed with PBE.

a b c (Å): 6.388 6.388 5.907
angles (deg): 90.00 90.00 120.00
Fractional positions:
Y1 0.000 0.500 0.000
Y2 0.333 0.667 0.500
Y3 0.500 0.000 0.000
Y4 0.500 0.500 0.000
Y5 0.667 0.333 0.500
Se1 0.000 0.000 0.500

## Properties
DOS(E_F) in states/eV/f.u.: 12.3
Symmetry: P6/mmm (191)
Calculated volume in A^3/atom: 34.8
Offset from the most stable computed form in eV per atom: 0.977
Formation energy (no corrections) in kJ/mol of formula units: 288
Total energy in eV/f.u.: -32.82

> Among the records above, which one has the lowest total energy?

Pr2Dy5HoTh